# meta-GGA SCAN PCF3, single point on PBEsol structure
data_PCF3
_space_group_name_H-M_alt 'P 1'
_space_group_IT_number 1
_cell_length_a 3.8405
_cell_length_b 3.8405
_cell_length_c 3.8405
_cell_angle_alpha 90.00
_cell_angle_beta 90.00
_cell_angle_gamma 90.00
loop_
_space_group_symop_operation_xyz
'x,y,z'
loop_
_atom_site_label
_atom_site_type_symbol
_atom_site_fract_x
_atom_site_fract_y
_atom_site_fract_z
F1 F 0.0000 0.5000 0.5000
F2 F 0.5000 0.0000 0.5000
P1 P 0.0000 0.0000 0.0000
C1 C 0.5000 0.5000 0.5000
F3 F 0.5000 0.5000 0.0000
# Energy relative to the elements, uncorrected ... 711 meV per atom
# SG ... No. 221

# meta-GGA SCAN TaPBr2, single point on PBEsol structure
data_TaPBr2
_space_group_name_H-M_alt 'P 1'
_space_group_IT_number 1
_cell_length_a 3.6743
_cell_length_b 3.6743
_cell_length_c 7.5507
_cell_angle_alpha 90.00
_cell_angle_beta 90.00
_cell_angle_gamma 90.00
loop_
_space_group_symop_operation_xyz
'x,y,z'
loop_
_atom_site_label
_atom_site_type_symbol
_atom_site_fract_x
_atom_site_fract_y
_atom_site_fract_z
Br1 Br 0.5000 0.0000 0.0000
P1 P 0.5000 0.5000 0.5000
Br2 Br 0.0000 0.5000 0.0000
Ta1 Ta 0.0000 0.0000 0.5000
# Energy relative to the elements, uncorrected ... 747 meV per atom
# Distance to the lowest polymorph of the same formula ... 0.963 eV/atom
# SG ... No. 123

# meta-GGA SCAN LiAg2Pd, single point on PBEsol structure
data_LiAg2Pd
_space_group_name_H-M_alt 'P 1'
_space_group_IT_number 1
_cell_length_a 4.4316
_cell_length_b 4.4316
_cell_length_c 4.4316
_cell_angle_alpha 60.00
_cell_angle_beta 60.00
_cell_angle_gamma 60.00
loop_
_space_group_symop_operation_xyz
'x,y,z'
loop_
_atom_site_label
_atom_site_type_symbol
_atom_site_fract_x
_atom_site_fract_y
_atom_site_fract_z
Ag1 Ag 0.2500 0.2500 0.2500
Li1 Li 0.0000 0.0000 0.0000
Ag2 Ag 0.7500 0.7500 0.7500
Pd1 Pd 0.5000 0.5000 0.5000
# SG ... No. 225

no.,magnetic moment (Bohr magnetons per cell),total DFT energy (no corrections) (eV for the cell shown)
1,2.0,-27.56
2,1.5,-112.91
3,0.0,-98.67